! SiS2NF PBE relaxed; values from VASP
&SYSTEM
  ibrav = 0, nat = 5, ntyp = 4
/
ATOMIC_SPECIES
Si 28.09 Si.upf
S 32.06 S.upf
N 14.01 N.upf
F 19.00 F.upf
ATOMIC_POSITIONS crystal
Si 0.000 0.000 0.000
S 0.000 0.500 0.500
S 0.500 0.000 0.500
N 0.500 0.500 0.000
F 0.500 0.500 0.500
CELL_PARAMETERS angstrom
4.347 0.000 0.000
0.000 4.347 0.000
0.000 0.000 3.932
! symmetry	P4/mmm (123)
! uncorrected formation energy	1.583	eV per atom
! energy	-0.1173	Ha/atom
! size of the total moment	0.00	μB per atom